56
Lattice="7.929 0.000 0.000 0.000 8.799 0.000 0.000 0.000 9.183" Properties=species:S:1:pos:R:3 comment="PBE LiNdP4N8, relaxed" formation_energy_uncorrected_ev_per_atom=-0.834 spacegroup="Pnma (62)" magnetic_moment_mub_per_cell=0.000 vol_a3_per_atom=11.440 pbc="T T T"
Li 5.947 8.327 8.579
Li 5.947 3.927 5.195
Li 1.982 0.472 0.603
Li 1.982 4.872 3.988
Nd 5.947 5.160 8.398
Nd 5.947 0.760 5.376
Nd 1.982 3.639 0.785
Nd 1.982 8.039 3.807
P 3.467 8.176 7.428
P 0.498 3.777 6.346
P 7.431 0.623 1.754
P 4.462 5.022 2.837
P 4.462 0.623 1.754
P 7.431 5.022 2.837
P 0.498 8.176 7.428
P 3.467 3.777 6.346
P 7.459 6.410 5.347
P 4.434 2.011 8.427
P 3.495 2.389 3.836
P 0.469 6.788 0.756
P 0.469 2.389 3.836
P 3.495 6.788 0.756
P 4.434 6.410 5.347
P 7.459 2.011 8.427
N 3.510 7.656 5.879
N 0.454 3.256 7.895
N 7.475 1.143 3.303
N 4.418 5.543 1.288
N 4.418 1.143 3.303
N 7.475 5.543 1.288
N 0.454 7.656 5.879
N 3.510 3.256 7.895
N 7.726 7.065 8.461
N 4.167 2.666 5.313
N 3.762 1.734 0.722
N 0.203 6.133 3.870
N 0.203 1.734 0.722
N 3.762 6.133 3.870
N 4.167 7.065 8.461
N 7.726 2.666 5.313
N 7.406 5.070 6.280
N 4.488 0.671 7.494
N 3.441 3.728 2.903
N 0.523 8.128 1.689
N 0.523 3.728 2.903
N 3.441 8.128 1.689
N 4.488 5.070 6.280
N 7.406 0.671 7.494
N 5.947 7.050 5.335
N 5.947 2.650 8.439
N 1.982 1.749 3.848
N 1.982 6.149 0.744
N 5.947 4.612 3.312
N 5.947 0.213 1.280
N 1.982 4.187 5.871
N 1.982 8.586 7.903